First-principles (PBE) data for crystalline LaTlAgI5 at its relaxed geometry, as listed in Alexandria via LeMat-Bulk.

Output
The value obtained for the total magnetic moment is 0.0000 μB/atom. Its crystal system is monoclinic. For the formation energy without anion corrections, the calculation gives -92.7 kJ per mole of atoms.

Structure (POSCAR):
```
LaTlAgI5
1.0
5.0164 -6.9796 0.0000
5.0164 6.9796 0.0000
-4.5025 0.0000 10.7482
La Tl Ag I
2 2 2 10
Cartesian
0.0000 0.0000 0.0000
-2.2513 0.0000 5.3741
1.6395 1.7473 8.0611
3.8908 -1.7473 2.6870
3.8908 2.6334 2.6870
1.6395 -2.6334 8.0611
1.9651 4.2336 4.0198
1.6395 5.6406 8.0611
3.0009 0.9065 0.5639
5.8164 4.2336 1.3543
0.7496 -0.9065 5.9380
4.7807 0.9065 4.8101
-0.2861 -4.2336 9.3939
2.5294 -0.9065 10.1842
3.8908 -5.6406 2.6870
3.5652 -4.2336 6.7283
```